The following is a DFT calculation (PBE) of a relaxed structure of CaNdAl2.

Cell lengths 5.254, 5.254, 5.254 Å; angles 60.00, 60.00, 60.00 degrees
Sites, in units of the cell vectors:
Al: 0.250 0.250 0.250
Al: 0.750 0.750 0.750
Ca: 0.500 0.500 0.500
Nd: 0.000 0.000 0.000

Computed properties:
Magnetic moment (μB/f.u.): 0.00
SG: Fm-3m (225)
Formation enthalpy at 0 K (eV/atom): -0.26
Calculated volume (Å³/f.u.): 103
Energy relative to the lowest polymorph listed for this composition (meV/atom): 7
Raw total energy (eV/atom): -3.83
Density of states at the Fermi level (states/eV/f.u.): 3.07



The following is a DFT calculation (PBE) of a relaxed structure of CaNd2AlO.

Cell lengths 4.763, 4.967, 4.967 Å; angles 90.00, 90.00, 90.00 degrees
Sites, in units of the cell vectors:
Ca: 0.500 0.000 0.000
Nd: 0.000 0.500 0.000
Nd: 0.000 0.000 0.500
O: 0.000 0.000 0.000
Al: 0.500 0.500 0.500

Computed properties:
Magnetic moment (μB/f.u.): 0.00
SG: P4/mmm (123)
Calculated volume (Å³/f.u.): 118
Raw total energy (eV/atom): -5.35
Density of states at the Fermi level (states/eV/f.u.): 1.92
Formation energy from raw total energies (eV/atom): -1.30



The following is a DFT calculation (PBE) of a relaxed structure of CaNdAlPb.

Cell lengths 5.429, 5.429, 5.429 Å; angles 60.00, 60.00, 60.00 degrees
Sites, in units of the cell vectors:
Pb: 0.250 0.250 0.250
Al: 0.750 0.750 0.750
Ca: 0.500 0.500 0.500
Nd: 0.000 0.000 0.000

Computed properties:
Magnetic moment (μB/f.u.): 0.00
SG: F-43m (216)
Formation enthalpy at 0 K (eV/atom): -0.33
Calculated volume (Å³/f.u.): 113
Raw total energy (eV/atom): -3.89
Density of states at the Fermi level (states/eV/f.u.): 2.29



The following is a DFT calculation (PBE) of a relaxed structure of CaNdAlPd.

Cell lengths 5.172, 5.172, 5.172 Å; angles 60.00, 60.00, 60.00 degrees
Sites, in units of the cell vectors:
Al: 0.500 0.500 0.500
Ca: 0.250 0.250 0.250
Pd: 0.000 0.000 0.000
Nd: 0.750 0.750 0.750

Computed properties:
Magnetic moment (μB/f.u.): 0.00
SG: F-43m (216)
Formation enthalpy at 0 K (eV/atom): -0.45
Calculated volume (Å³/f.u.): 98
Raw total energy (eV/atom): -4.37
Density of states at the Fermi level (states/eV/f.u.): 3.41



The following is a DFT calculation (PBE) of a relaxed structure of CaNdScAl.

Cell lengths 5.324, 5.324, 5.324 Å; angles 60.00, 60.00, 60.00 degrees
Sites, in units of the cell vectors:
Al: 0.250 0.250 0.250
Nd: 0.500 0.500 0.500
Ca: 0.750 0.750 0.750
Sc: 0.000 0.000 0.000

Computed properties:
Magnetic moment (μB/f.u.): 0.00
SG: F-43m (216)
Formation enthalpy at 0 K (eV/atom): -0.04
Calculated volume (Å³/f.u.): 107
Raw total energy (eV/atom): -4.25
Density of states at the Fermi level (states/eV/f.u.): 3.04



The following is a DFT calculation (PBE) of a relaxed structure of CaNdSmAl.

Cell lengths 5.495, 5.495, 5.495 Å; angles 60.00, 60.00, 60.00 degrees
Sites, in units of the cell vectors:
Nd: 0.500 0.500 0.500
Ca: 0.250 0.250 0.250
Sm: 0.000 0.000 0.000
Al: 0.750 0.750 0.750

Computed properties:
Magnetic moment (μB/f.u.): 0.00
SG: F-43m (216)
Formation enthalpy at 0 K (eV/atom): -0.08
Calculated volume (Å³/f.u.): 117
Raw total energy (eV/atom): -3.89
Density of states at the Fermi level (states/eV/f.u.): 2.94



The following is a DFT calculation (PBE) of a relaxed structure of CaNdAlSn.

Cell lengths 5.363, 5.363, 5.363 Å; angles 60.00, 60.00, 60.00 degrees
Sites, in units of the cell vectors:
Ca: 0.500 0.500 0.500
Nd: 0.000 0.000 0.000
Al: 0.750 0.750 0.750
Sn: 0.250 0.250 0.250

Computed properties:
Magnetic moment (μB/f.u.): 0.00
SG: F-43m (216)
Formation enthalpy at 0 K (eV/atom): -0.41
Calculated volume (Å³/f.u.): 109
Raw total energy (eV/atom): -4.04
Density of states at the Fermi level (states/eV/f.u.): 1.69



The following is a DFT calculation (PBE) of a relaxed structure of SrCaNdAl.

Cell lengths 5.694, 5.694, 5.694 Å; angles 60.00, 60.00, 60.00 degrees
Sites, in units of the cell vectors:
Nd: 0.750 0.750 0.750
Sr: 0.250 0.250 0.250
Ca: 0.500 0.500 0.500
Al: 0.000 0.000 0.000

Computed properties:
Magnetic moment (μB/f.u.): 0.00
SG: F-43m (216)
Formation enthalpy at 0 K (eV/atom): 0.01
Calculated volume (Å³/f.u.): 131
Raw total energy (eV/atom): -3.04
Density of states at the Fermi level (states/eV/f.u.): 3.93



The following is a DFT calculation (PBE) of a relaxed structure of CaTbNdAl.

Cell lengths 5.462, 5.462, 5.462 Å; angles 60.00, 60.00, 60.00 degrees
Sites, in units of the cell vectors:
Tb: 0.500 0.500 0.500
Nd: 0.000 0.000 0.000
Al: 0.750 0.750 0.750
Ca: 0.250 0.250 0.250

Computed properties:
Magnetic moment (μB/f.u.): 0.00
SG: F-43m (216)
Formation enthalpy at 0 K (eV/atom): -0.07
Calculated volume (Å³/f.u.): 115
Raw total energy (eV/atom): -3.85
Density of states at the Fermi level (states/eV/f.u.): 3.02



The following is a DFT calculation (PBE) of a relaxed structure of CaNdTmAl.

Cell lengths 5.427, 5.427, 5.427 Å; angles 60.00, 60.00, 60.00 degrees
Sites, in units of the cell vectors:
Al: 0.500 0.500 0.500
Ca: 0.000 0.000 0.000
Tm: 0.750 0.750 0.750
Nd: 0.250 0.250 0.250

Computed properties:
Magnetic moment (μB/f.u.): 0.00
SG: F-43m (216)
Formation enthalpy at 0 K (eV/atom): -0.05
Calculated volume (Å³/f.u.): 113
Raw total energy (eV/atom): -3.79
Density of states at the Fermi level (states/eV/f.u.): 2.81



The following is a DFT calculation (PBE) of a relaxed structure of CaNd2Al2Zn2.

Cell lengths 4.584, 4.584, 9.949 Å; angles 76.68, 76.68, 60.00 degrees
Sites, in units of the cell vectors:
Nd: 0.127 0.127 0.618
Al: 0.739 0.739 0.783
Al: 0.261 0.261 0.217
Zn: 0.597 0.597 0.208
Nd: 0.873 0.873 0.382
Ca: 0.000 0.000 0.000
Zn: 0.403 0.403 0.792

Computed properties:
Magnetic moment (μB/f.u.): 0.00
SG: R-3m (166)
Formation enthalpy at 0 K (eV/atom): -0.27
Calculated volume (Å³/f.u.): 174
Raw total energy (eV/atom): -3.35
Density of states at the Fermi level (states/eV/f.u.): 3.47



The following is a DFT calculation (PBE) of a relaxed structure of CaNdAlZn.

Cell lengths 5.246, 5.246, 5.246 Å; angles 60.00, 60.00, 60.00 degrees
Sites, in units of the cell vectors:
Zn: 0.000 0.000 0.000
Nd: 0.750 0.750 0.750
Al: 0.500 0.500 0.500
Ca: 0.250 0.250 0.250

Computed properties:
Magnetic moment (μB/f.u.): 0.00
SG: F-43m (216)
Formation enthalpy at 0 K (eV/atom): -0.29
Calculated volume (Å³/f.u.): 102
Raw total energy (eV/atom): -3.24
Density of states at the Fermi level (states/eV/f.u.): 2.07



The following is a DFT calculation (PBE) of a relaxed structure of CaAl8Ni4.

Cell lengths 5.113, 6.604, 6.604 Å; angles 81.38, 67.23, 67.23 degrees
Sites, in units of the cell vectors:
Ni: 0.000 0.000 0.500
Al: 0.344 0.656 0.656
Ni: 0.500 0.000 0.500
Al: 0.276 0.224 0.224
Al: 0.000 0.344 0.656
Ni: 0.500 0.500 0.000
Al: 0.724 0.776 0.776
Al: 0.500 0.224 0.776
Ca: 0.000 0.000 0.000
Ni: 0.000 0.500 0.000
Al: 0.000 0.656 0.344
Al: 0.500 0.776 0.224
Al: 0.656 0.344 0.344

Computed properties:
Magnetic moment (μB/f.u.): 0.00
SG: I4/mmm (139)
Formation enthalpy at 0 K (eV/atom): -0.53
Calculated volume (Å³/f.u.): 190
Raw total energy (eV/atom): -4.77
Density of states at the Fermi level (states/eV/f.u.): 4.40



The following is a DFT calculation (PBE) of a relaxed structure of CaAl12Ni6.

Cell lengths 6.938, 6.938, 6.938 Å; angles 104.91, 104.91, 104.91 degrees
Sites, in units of the cell vectors:
Ni: 0.273 0.697 0.273
Ni: 0.727 0.303 0.727
Ni: 0.727 0.727 0.303
Al: 0.415 0.155 0.415
Al: 0.500 0.119 0.881
Al: 0.881 0.119 0.500
Ni: 0.273 0.273 0.697
Ni: 0.697 0.273 0.273
Al: 0.119 0.881 0.500
Al: 0.415 0.415 0.155
Ca: 0.000 0.000 0.000
Al: 0.585 0.585 0.845
Al: 0.155 0.415 0.415
Al: 0.881 0.500 0.119
Al: 0.585 0.845 0.585
Al: 0.119 0.500 0.881
Ni: 0.303 0.727 0.727
Al: 0.500 0.881 0.119
Al: 0.845 0.585 0.585

Computed properties:
Magnetic moment (μB/f.u.): 0.00
SG: R-3m (166)
Formation enthalpy at 0 K (eV/atom): -0.44
Calculated volume (Å³/f.u.): 292
Raw total energy (eV/atom): -4.74
Density of states at the Fermi level (states/eV/f.u.): 4.08



The following is a DFT calculation (PBE) of a relaxed structure of CaAlNi2.

Cell lengths 3.035, 3.096, 7.341 Å; angles 65.16, 90.00, 90.00 degrees
Sites, in units of the cell vectors:
Ni: 0.000 0.941 0.058
Al: 0.500 0.250 0.250
Ni: 0.000 0.559 0.442
Ca: 0.500 0.750 0.750

Computed properties:
Magnetic moment (μB/f.u.): 0.00
SG: P2/m (10)
Formation enthalpy at 0 K (eV/atom): -0.26
Calculated volume (Å³/f.u.): 63
Raw total energy (eV/atom): -4.59
Density of states at the Fermi level (states/eV/f.u.): 1.95



The following is a DFT calculation (PBE) of a relaxed structure of CaAlNi2.

Cell lengths 5.144, 5.144, 5.144 Å; angles 136.84, 136.84, 62.69 degrees
Sites, in units of the cell vectors:
Ni: 0.000 0.000 0.000
Al: 0.500 0.500 0.000
Ni: 0.250 0.750 0.500
Ca: 0.750 0.250 0.500

Computed properties:
Magnetic moment (μB/f.u.): 0.00
SG: I-4m2 (119)
Formation enthalpy at 0 K (eV/atom): -0.03
Calculated volume (Å³/f.u.): 63
Raw total energy (eV/atom): -4.36
Density of states at the Fermi level (states/eV/f.u.): 2.06



The following is a DFT calculation (PBE) of a relaxed structure of CaAlNi2.

Cell lengths 4.564, 4.564, 8.662 Å; angles 74.73, 74.73, 90.00 degrees
Sites, in units of the cell vectors:
Ca: 0.000 0.000 0.000
Al: 0.250 0.750 0.500
Ca: 0.750 0.250 0.500
Ni: 0.875 0.669 0.750
Ni: 0.375 0.581 0.750
Ni: 0.331 0.625 0.250
Ni: 0.419 0.125 0.250
Al: 0.500 0.500 0.000

Computed properties:
Magnetic moment (μB/f.u.): 0.00
SG: I-42d (122)
Formation enthalpy at 0 K (eV/atom): 0.00
Calculated volume (Å³/f.u.): 84
Raw total energy (eV/atom): -4.33
Density of states at the Fermi level (states/eV/f.u.): 1.64



The following is a DFT calculation (PBE) of a relaxed structure of Ca2AlNi.

Cell lengths 3.358, 3.356, 8.391 Å; angles 90.00, 90.00, 90.00 degrees
Sites, in units of the cell vectors:
Al: 0.500 0.500 0.676
Ca: 0.500 0.500 0.322
Ca: 0.000 0.000 0.936
Ni: 0.000 0.000 0.567

Computed properties:
Magnetic moment (μB/f.u.): 0.00
SG: P4mm (99)
Formation enthalpy at 0 K (eV/atom): -0.15
Calculated volume (Å³/f.u.): 95
Raw total energy (eV/atom): -3.53
Density of states at the Fermi level (states/eV/f.u.): 4.37



The following is a DFT calculation (PBE) of a relaxed structure of Ca2AlNi.

Cell lengths 5.825, 5.825, 5.135 Å; angles 64.03, 64.03, 37.53 degrees
Sites, in units of the cell vectors:
Al: 0.190 0.190 0.309
Ca: 0.981 0.981 0.019
Ca: 0.782 0.782 0.718
Ni: 0.547 0.547 0.454

Computed properties:
Magnetic moment (μB/f.u.): 0.00
SG: Cm (8)
Formation enthalpy at 0 K (eV/atom): -0.14
Calculated volume (Å³/f.u.): 94
Raw total energy (eV/atom): -3.52
Density of states at the Fermi level (states/eV/f.u.): 2.53



The following is a DFT calculation (PBE) of a relaxed structure of CaAlNi.

Cell lengths 4.683, 4.683, 4.683 Å; angles 60.00, 60.00, 60.00 degrees
Sites, in units of the cell vectors:
Al: 0.500 0.500 0.500
Ca: 0.750 0.750 0.750
Ni: 0.000 0.000 0.000

Computed properties:
Magnetic moment (μB/f.u.): 0.00
SG: F-43m (216)
Formation enthalpy at 0 K (eV/atom): 0.69
Calculated volume (Å³/f.u.): 73
Raw total energy (eV/atom): -3.16
Density of states at the Fermi level (states/eV/f.u.): 2.72